DyTh2Sc3: relaxed, GGA-PBE.

Lattice parameters (Å, degrees): 8.922 8.922 11.157 90.00 90.00 157.54
Positions (direct):
Dy1 0.222 0.778 0.750
Dy2 0.778 0.222 0.250
Th1 0.000 0.000 0.000
Th2 0.000 0.000 0.500
Th3 0.445 0.555 0.250
Th4 0.555 0.445 0.750
Sc1 0.111 0.889 0.250
Sc2 0.333 0.667 0.507
Sc3 0.333 0.667 0.993
Sc4 0.667 0.333 0.007
Sc5 0.667 0.333 0.493
Sc6 0.889 0.111 0.750

Summary:
crystal system: orthorhombic
energy relative to the lowest polymorph listed for this composition: 21 meV per atom
SG: Cmcm, No. 63
magnetic moment: 0.000 μB per formula unit
N(E_F): 8.50 states/eV/f.u.
formation enthalpy at 0 K: 0.29 eV per formula unit